No. 1
A relaxed NaH6SeN2 crystal, computed with PBE.

extended XYZ file:
```
20
Lattice="0.111 6.296 4.192 0.456 -5.439 5.237 5.358 0.126 -0.356" Properties=species:S:1:pos:R:3 pbc="T T T"
Na 1.689 -1.808 4.828
Na 4.235 2.790 4.246
H 1.634 3.539 5.955
H 1.439 3.250 2.774
H 4.291 -2.557 3.118
H 4.485 -2.268 6.300
H 0.700 -1.412 2.323
H 2.641 -0.918 7.218
H 5.225 2.394 6.750
H 3.283 1.901 1.856
H 2.339 -1.369 2.223
H 1.002 -0.955 7.317
H 3.586 2.352 6.850
H 4.922 1.937 1.756
Se 1.609 0.934 4.583
Se 4.316 0.049 4.490
N 4.092 2.527 1.860
N 4.380 2.961 6.640
N 1.832 -1.544 7.213
N 1.544 -1.978 2.434
```

Summary:
* space group: C2/c (15)
* density: 1.50 g/cm³
* total energy: -4.5552 eV per atom

---

No. 2
A relaxed Li2ZnCr crystal, computed with PBE.

extended XYZ file:
```
4
Lattice="2.454 0.000 0.000 0.000 4.427 0.000 0.000 0.000 5.294" Properties=species:S:1:pos:R:3 pbc="T T T"
Cr 1.227 2.213 3.970
Li 0.000 0.000 5.283
Li 0.000 0.000 2.657
Zn 1.227 2.213 1.323
```

Summary:
* density of states at the Fermi level: 0.60 states/eV/atom
* space group: Pmmm (47)
* density: 3.79 g/cm³
* formation energy from the elements: 0.320 eV/atom
* total energy: -3.3616 eV per atom
* polymorph energy (0 for the lowest one): 128 meV/atom